Compound: LiVHg2O
Source: the Alexandria database
Functional: GGA+U
Structure: relaxed

Values from the calculation:
The density of states at the Fermi level is 1.359 states/eV/f.u. The magnetization is 2.51 μB/cell. The calculation puts the uncorrected energy at -0.2388 Ry/atom.

Unit cell a=5.749 b=5.749 c=3.683 alpha=90.00 beta=90.00 gamma=90.00
Fractional coordinates of all 5 atoms:
1 Li 0.000 0.000 0.000
2 V 0.500 0.500 0.000
3 Hg 0.000 0.500 0.500
4 Hg 0.500 0.000 0.500
5 O 0.500 0.500 0.500

Compound: Li2VHg2O6
Source: the Alexandria database
Functional: GGA+U
Structure: relaxed

Values from the calculation:
The density of states at the Fermi level is 7.019 states/eV/f.u. The magnetization is 0.00 μB/cell. The calculation puts the uncorrected energy at -0.3573 Ry/atom.

Unit cell a=5.183 b=5.183 c=5.948 alpha=102.93 beta=102.93 gamma=114.15
Fractional coordinates of all 11 atoms:
1 Li 0.160 0.840 0.000
2 Li 0.840 0.160 0.000
3 V 0.500 0.500 0.000
4 Hg 0.193 0.807 0.500
5 Hg 0.807 0.193 0.500
6 O 0.117 0.117 0.783
7 O 0.275 0.583 0.182
8 O 0.417 0.725 0.818
9 O 0.583 0.275 0.182
10 O 0.725 0.417 0.818
11 O 0.883 0.883 0.217

Compound: LiV2HgO6
Source: the Alexandria database
Functional: GGA+U
Structure: relaxed

Values from the calculation:
The density of states at the Fermi level is 1.129 states/eV/f.u. The magnetization is 0.00 μB/cell. The calculation puts the uncorrected energy at -0.4629 Ry/atom.

Unit cell a=7.604 b=7.604 c=5.798 alpha=104.62 beta=104.62 gamma=86.96
Fractional coordinates of all 20 atoms:
1 Li 0.223 0.777 0.750
2 Li 0.777 0.223 0.250
3 V 0.219 0.406 0.302
4 V 0.406 0.219 0.802
5 V 0.594 0.781 0.198
6 V 0.781 0.594 0.698
7 Hg 0.081 0.919 0.250
8 Hg 0.919 0.081 0.750
9 O 0.022 0.284 0.203
10 O 0.179 0.629 0.404
11 O 0.284 0.022 0.703
12 O 0.327 0.369 0.049
13 O 0.369 0.327 0.549
14 O 0.371 0.821 0.096
15 O 0.629 0.179 0.904
16 O 0.631 0.673 0.451
17 O 0.673 0.631 0.951
18 O 0.716 0.978 0.297
19 O 0.821 0.371 0.596
20 O 0.978 0.716 0.797

Compound: LiHgWO4
Source: the Alexandria database
Functional: GGA+U
Structure: relaxed

Values from the calculation:
The density of states at the Fermi level is 0.000 states/eV/f.u. The magnetization is 0.00 μB/cell. The calculation puts the uncorrected energy at -0.4243 Ry/atom.

Unit cell a=6.468 b=6.468 c=7.083 alpha=104.86 beta=104.86 gamma=57.27
Fractional coordinates of all 14 atoms:
1 Li 0.202 0.202 0.265
2 Li 0.798 0.798 0.735
3 Hg 0.424 0.424 0.112
4 Hg 0.576 0.576 0.888
5 W 0.102 0.102 0.719
6 W 0.898 0.898 0.281
7 O 0.069 0.069 0.384
8 O 0.088 0.560 0.296
9 O 0.122 0.122 0.980
10 O 0.440 0.912 0.704
11 O 0.560 0.088 0.296
12 O 0.878 0.878 0.020
13 O 0.912 0.440 0.704
14 O 0.931 0.931 0.616